Compound: RuRh2W
Source: Alexandria
Functional: PBE
Structure: optimized geometry

- M_tot: 0.0 μB/cell
- Calculated formation energy: -0.054 eV/atom
- Uncorrected energy: -9.29 eV/atom
- ΔE to the lowest computed polymorph: 129 meV per atom

a = 2.757 Å, b = 4.712 Å, c = 5.482 Å
α = 54.78°, β = 90.00°, γ = 90.00°
Positions (direct):
Ru 0.500 0.500 0.500
Rh 0.500 0.500 0.000
Rh 0.000 0.000 0.000
W 0.000 0.000 0.500